# BeTeCl

BeTeCl after structural relaxation (GGA-PBE, Alexandria via LeMat-Bulk).

Unit cell a=3.348 b=3.348 c=7.319 alpha=90.00 beta=90.00 gamma=120.00
Fractional coordinates of all 3 atoms:
Be1 0.000 0.000 0.029
Te1 0.333 0.667 0.778
Cl1 0.667 0.333 0.192

Values from the calculation:
For the energy relative to the lowest polymorph listed for this composition, the calculation gives 0.59 eV per formula unit. As for the total magnetization: 0.00 μB per cell. The value obtained for the calculated total energy is -10.1 eV for the cell shown. The calculation puts the uncorrected formation energy at -0.468 eV/atom.


# BeTeCl2

BeTeCl2 after structural relaxation (GGA-PBE, Alexandria via LeMat-Bulk).

Unit cell a=3.218 b=3.218 c=8.449 alpha=90.00 beta=90.00 gamma=90.00
Fractional coordinates of all 4 atoms:
Te1 0.000 0.000 0.528
Cl1 0.500 0.500 0.298
Be1 0.500 0.500 0.767
Cl2 0.000 0.000 0.908

Values from the calculation:
For the energy relative to the lowest polymorph listed for this composition, the calculation gives 3.44 eV per formula unit. As for the total magnetization: 0.00 μB per cell. The value obtained for the calculated total energy is -10.1 eV for the cell shown. The calculation puts the uncorrected formation energy at 0.118 eV/atom.


# BeTeCl2

BeTeCl2 after structural relaxation (GGA-PBE, Alexandria via LeMat-Bulk).

Unit cell a=3.771 b=3.770 c=8.074 alpha=90.00 beta=90.00 gamma=90.00
Fractional coordinates of all 4 atoms:
Te1 0.000 0.000 0.650
Cl1 0.000 0.000 0.942
Be1 0.500 0.500 0.569
Cl2 0.500 0.500 0.339

Values from the calculation:
For the energy relative to the lowest polymorph listed for this composition, the calculation gives 1.30 eV per formula unit. As for the total magnetization: 0.00 μB per cell. The value obtained for the calculated total energy is -12.2 eV for the cell shown. The calculation puts the uncorrected formation energy at -0.417 eV/atom.


# BeTeCl3

BeTeCl3 after structural relaxation (GGA-PBE, Alexandria via LeMat-Bulk).

Unit cell a=4.625 b=4.625 c=4.625 alpha=90.00 beta=90.00 gamma=90.00
Fractional coordinates of all 5 atoms:
Te1 0.500 0.500 0.500
Cl1 0.000 0.000 0.500
Be1 0.000 0.000 0.000
Cl2 0.000 0.500 0.000
Cl3 0.500 0.000 0.000

Values from the calculation:
For the energy relative to the lowest polymorph listed for this composition, the calculation gives 0.00 eV per formula unit. As for the total magnetization: 0.00 μB per cell. The value obtained for the calculated total energy is -13.6 eV for the cell shown. The calculation puts the uncorrected formation energy at -0.237 eV/atom.


# BeTeCl2

BeTeCl2 after structural relaxation (GGA-PBE, Alexandria via LeMat-Bulk).

Unit cell a=4.945 b=4.945 c=4.945 alpha=60.00 beta=60.00 gamma=60.00
Site moments in Bohr magnetons follow the coordinates.
Fractional coordinates of all 4 atoms:
Cl1 0.750 0.750 0.750  0.02
Cl2 0.250 0.250 0.250  0.02
Te1 0.500 0.500 0.500  0.11
Be1 0.000 0.000 0.000  -0.01

Values from the calculation:
For the energy relative to the lowest polymorph listed for this composition, the calculation gives 5.88 eV per formula unit. As for the total magnetization: 0.23 μB per cell. The value obtained for the calculated total energy is -7.6 eV for the cell shown. The calculation puts the uncorrected formation energy at 0.729 eV/atom.


# BeTeCl2

BeTeCl2 after structural relaxation (GGA-PBE, Alexandria via LeMat-Bulk).

Unit cell a=5.294 b=5.294 c=5.294 alpha=102.30 beta=102.30 gamma=125.02
Fractional coordinates of all 4 atoms:
Te1 0.500 0.500 0.000
Cl1 0.750 0.250 0.500
Be1 0.250 0.750 0.500
Cl2 0.000 0.000 0.000

Values from the calculation:
For the energy relative to the lowest polymorph listed for this composition, the calculation gives 4.49 eV per formula unit. As for the total magnetization: 0.00 μB per cell. The value obtained for the calculated total energy is -9.0 eV for the cell shown. The calculation puts the uncorrected formation energy at 0.381 eV/atom.


# BeTeCl

BeTeCl after structural relaxation (GGA-PBE, Alexandria via LeMat-Bulk).

Unit cell a=7.263 b=8.770 c=8.012 alpha=65.29 beta=83.89 gamma=112.77
Fractional coordinates of all 12 atoms:
Cl1 0.960 0.015 0.905
Te1 0.123 0.295 0.303
Be1 0.937 0.478 0.165
Cl2 0.621 0.643 0.862
Te2 0.159 0.494 0.704
Be2 0.304 0.515 0.959
Te3 0.735 0.149 0.244
Cl3 0.574 0.151 0.848
Be3 0.824 0.191 0.920
Cl4 0.777 0.576 0.275
Te4 0.168 0.753 0.824
Be4 0.826 0.738 0.990

Values from the calculation:
For the energy relative to the lowest polymorph listed for this composition, the calculation gives 0.00 eV per formula unit. As for the total magnetization: 0.00 μB per cell. The value obtained for the calculated total energy is -42.8 eV for the cell shown. The calculation puts the uncorrected formation energy at -0.666 eV/atom.


# BeTeCl2

BeTeCl2 after structural relaxation (GGA-PBE, Alexandria via LeMat-Bulk).

Unit cell a=3.995 b=5.165 c=6.620 alpha=61.30 beta=90.00 gamma=90.00
Fractional coordinates of all 4 atoms:
Be1 0.500 0.506 0.885
Cl1 0.000 0.059 0.775
Cl2 0.500 0.337 0.202
Te1 0.000 0.599 0.639

Values from the calculation:
For the energy relative to the lowest polymorph listed for this composition, the calculation gives 0.75 eV per formula unit. As for the total magnetization: 0.00 μB per cell. The value obtained for the calculated total energy is -12.8 eV for the cell shown. The calculation puts the uncorrected formation energy at -0.554 eV/atom.


# BeTeCl2

BeTeCl2 after structural relaxation (GGA-PBE, Alexandria via LeMat-Bulk).

Unit cell a=3.283 b=5.754 c=4.479 alpha=90.00 beta=90.00 gamma=90.00
Fractional coordinates of all 4 atoms:
Cl1 0.000 0.000 0.000
Te1 0.500 0.000 0.500
Be1 0.000 0.500 0.500
Cl2 0.500 0.500 0.000

Values from the calculation:
For the energy relative to the lowest polymorph listed for this composition, the calculation gives 4.22 eV per formula unit. As for the total magnetization: 0.00 μB per cell. The value obtained for the calculated total energy is -9.3 eV for the cell shown. The calculation puts the uncorrected formation energy at 0.313 eV/atom.


# BeTeCl

BeTeCl after structural relaxation (GGA-PBE, Alexandria via LeMat-Bulk).

Unit cell a=8.834 b=7.781 c=4.696 alpha=86.43 beta=61.53 gamma=32.04
Fractional coordinates of all 3 atoms:
Te1 0.380 0.380 0.620
Be1 0.015 0.015 0.985
Cl1 0.605 0.605 0.395

Values from the calculation:
For the energy relative to the lowest polymorph listed for this composition, the calculation gives 0.74 eV per formula unit. As for the total magnetization: 0.00 μB per cell. The value obtained for the calculated total energy is -10.0 eV for the cell shown. The calculation puts the uncorrected formation energy at -0.418 eV/atom.


# TiBe2TeCl

TiBe2TeCl after structural relaxation (GGA-PBE, Alexandria via LeMat-Bulk).

Unit cell a=5.069 b=5.027 c=5.069 alpha=90.00 beta=90.00 gamma=90.00
Fractional coordinates of all 5 atoms:
Be1 0.500 0.000 0.000
Ti1 0.000 0.000 0.000
Cl1 0.500 0.500 0.500
Be2 0.000 0.000 0.500
Te1 0.000 0.500 0.000

Values from the calculation:
For the energy relative to the lowest polymorph listed for this composition, the calculation gives 0.00 eV per formula unit. As for the total magnetization: 0.00 μB per cell. The value obtained for the calculated total energy is -16.0 eV for the cell shown. The calculation puts the uncorrected formation energy at 0.877 eV/atom.


# TiBe2TeCl

TiBe2TeCl after structural relaxation (GGA-PBE, Alexandria via LeMat-Bulk).

Unit cell a=4.672 b=4.672 c=5.246 alpha=90.00 beta=90.00 gamma=90.00
Fractional coordinates of all 5 atoms:
Be1 0.500 0.000 0.000
Te1 0.000 0.000 0.000
Cl1 0.500 0.500 0.500
Be2 0.000 0.500 0.000
Ti1 0.000 0.000 0.500

Values from the calculation:
For the energy relative to the lowest polymorph listed for this composition, the calculation gives 0.39 eV per formula unit. As for the total magnetization: 0.00 μB per cell. The value obtained for the calculated total energy is -15.6 eV for the cell shown. The calculation puts the uncorrected formation energy at 0.955 eV/atom.


# TiBe2TeCl

TiBe2TeCl after structural relaxation (GGA-PBE, Alexandria via LeMat-Bulk).

Unit cell a=4.393 b=6.285 c=4.393 alpha=90.00 beta=90.00 gamma=90.00
Fractional coordinates of all 5 atoms:
Te1 0.000 0.000 0.000
Be1 0.500 0.000 0.000
Ti1 0.500 0.500 0.500
Be2 0.000 0.000 0.500
Cl1 0.000 0.500 0.000

Values from the calculation:
For the energy relative to the lowest polymorph listed for this composition, the calculation gives 1.73 eV per formula unit. As for the total magnetization: 0.00 μB per cell. The value obtained for the calculated total energy is -14.2 eV for the cell shown. The calculation puts the uncorrected formation energy at 1.223 eV/atom.


# BeZn2TeCl

BeZn2TeCl after structural relaxation (GGA-PBE, Alexandria via LeMat-Bulk).

Unit cell a=5.026 b=4.097 c=5.026 alpha=90.00 beta=90.00 gamma=90.00
Fractional coordinates of all 5 atoms:
Cl1 0.000 0.500 0.000
Zn1 0.000 0.000 0.500
Be1 0.000 0.000 0.000
Te1 0.500 0.500 0.500
Zn2 0.500 0.000 0.000

Values from the calculation:
As for the total magnetization: 0.00 μB per cell. The value obtained for the calculated total energy is -9.9 eV for the cell shown. The calculation puts the uncorrected formation energy at 0.272 eV/atom.


# ZrBe2TeCl

ZrBe2TeCl after structural relaxation (GGA-PBE, Alexandria via LeMat-Bulk).

Unit cell a=5.113 b=4.753 c=5.113 alpha=90.00 beta=90.00 gamma=90.00
Fractional coordinates of all 5 atoms:
Be1 0.000 0.000 0.500
Be2 0.500 0.000 0.000
Te1 0.500 0.500 0.500
Cl1 0.000 0.500 0.000
Zr1 0.000 0.000 0.000

Values from the calculation:
As for the total magnetization: 0.00 μB per cell. The value obtained for the calculated total energy is -17.3 eV for the cell shown. The calculation puts the uncorrected formation energy at 0.740 eV/atom.


# TiBe2Cl

TiBe2Cl after structural relaxation (GGA-PBE, Alexandria via LeMat-Bulk).

Unit cell a=4.364 b=4.364 c=4.364 alpha=60.00 beta=60.00 gamma=60.00
Site moments in Bohr magnetons follow the coordinates.
Fractional coordinates of all 4 atoms:
Be1 0.750 0.750 0.750  0.04
Ti1 0.500 0.500 0.500  0.89
Be2 0.250 0.250 0.250  0.04
Cl1 0.000 0.000 0.000  0.09

Values from the calculation:
For the energy relative to the lowest polymorph listed for this composition, the calculation gives 2.43 eV per formula unit. As for the total magnetization: 1.36 μB per cell. The value obtained for the calculated total energy is -13.1 eV for the cell shown. The calculation puts the uncorrected formation energy at 1.035 eV/atom.


# TiBe3Cl

TiBe3Cl after structural relaxation (GGA-PBE, Alexandria via LeMat-Bulk).

Unit cell a=4.157 b=4.157 c=4.157 alpha=90.00 beta=90.00 gamma=90.00
Site moments in Bohr magnetons follow the coordinates.
Fractional coordinates of all 5 atoms:
Be1 0.500 0.000 0.000  0.05
Ti1 0.500 0.500 0.500  1.18
Be2 0.000 0.500 0.000  0.07
Cl1 0.000 0.000 0.000  0.13
Be3 0.000 0.000 0.500  0.05

Values from the calculation:
For the energy relative to the lowest polymorph listed for this composition, the calculation gives 0.00 eV per formula unit. As for the total magnetization: 2.18 μB per cell. The value obtained for the calculated total energy is -15.4 eV for the cell shown. The calculation puts the uncorrected formation energy at 1.097 eV/atom.


# TiBeCl3

TiBeCl3 after structural relaxation (GGA-PBE, Alexandria via LeMat-Bulk).

Unit cell a=4.519 b=4.519 c=4.519 alpha=90.00 beta=90.00 gamma=90.00
Site moments in Bohr magnetons follow the coordinates.
Fractional coordinates of all 5 atoms:
Cl1 0.000 0.500 0.000  -0.01
Be1 0.000 0.000 0.000  0.03
Cl2 0.500 0.000 0.000  -0.01
Cl3 0.000 0.000 0.500  -0.01
Ti1 0.500 0.500 0.500  2.16

Values from the calculation:
For the energy relative to the lowest polymorph listed for this composition, the calculation gives 0.35 eV per formula unit. As for the total magnetization: 2.82 μB per cell. The value obtained for the calculated total energy is -18.9 eV for the cell shown. The calculation puts the uncorrected formation energy at -0.358 eV/atom.


# TiBe3Cl

TiBe3Cl after structural relaxation (GGA-PBE, Alexandria via LeMat-Bulk).

Unit cell a=4.849 b=4.849 c=4.849 alpha=90.00 beta=90.00 gamma=90.00
Fractional coordinates of all 5 atoms:
Ti1 0.000 0.000 0.000
Be1 0.500 0.000 0.000
Be2 0.000 0.500 0.000
Be3 0.000 0.000 0.500
Cl1 0.500 0.500 0.500

Values from the calculation:
For the energy relative to the lowest polymorph listed for this composition, the calculation gives 2.84 eV per formula unit. As for the total magnetization: 0.00 μB per cell. The value obtained for the calculated total energy is -12.6 eV for the cell shown. The calculation puts the uncorrected formation energy at 1.665 eV/atom.


# TiBeCl3

TiBeCl3 after structural relaxation (GGA-PBE, Alexandria via LeMat-Bulk).

Unit cell a=4.888 b=4.888 c=4.888 alpha=90.00 beta=90.00 gamma=90.00
Site moments in Bohr magnetons follow the coordinates.
Fractional coordinates of all 5 atoms:
Cl1 0.000 0.500 0.000  -0.04
Cl2 0.500 0.000 0.000  -0.05
Be1 0.500 0.500 0.500  -0.10
Cl3 0.000 0.000 0.500  -0.03
Ti1 0.000 0.000 0.000  1.17

Values from the calculation:
For the energy relative to the lowest polymorph listed for this composition, the calculation gives 0.00 eV per formula unit. As for the total magnetization: 1.00 μB per cell. The value obtained for the calculated total energy is -19.3 eV for the cell shown. The calculation puts the uncorrected formation energy at -0.427 eV/atom.